No. 1
Here is Al2TlRu after structural relaxation from Alexandria via LeMat-Bulk. Energies are from PBE.

```
data_Al2TlRu
_chemical_formula_sum 'Al4 Tl2 Ru2'
_symmetry_space_group_name_H-M 'C 1 m 1'
_symmetry_Int_Tables_number 8
_symmetry_space_group_name_Hall 'C -2y'
_cell_length_a 8.8866
_cell_length_b 3.1999
_cell_length_c 5.1380
_cell_angle_alpha 90.00
_cell_angle_beta 100.72
_cell_angle_gamma 90.00
loop_
_atom_site_label
_atom_site_fract_x
_atom_site_fract_y
_atom_site_fract_z
_atom_site_occupancy
Al1 0.0000 0.0000 0.0000 1
Al2 0.2493 0.5000 0.2455 1
Tl1 0.0181 0.5000 0.5407 1
Ru1 0.2731 0.0000 0.8769 1
```

Values from the calculation:
The energy above the most stable polymorph in this dataset is 29.05 kJ/mol of atoms. The total DFT energy (no corrections) comes out at -37.74 eV per cell. The calculation puts the density of states at the Fermi level at 2.43 states/eV/f.u. The value obtained for the formation energy from the elements is 0.064 eV per atom. As for the calculated density: 8.3 g cm⁻³.

No. 2
Here is Fe4CoRh3 after structural relaxation from Alexandria via LeMat-Bulk. Energies are from PBE.

```
data_Fe4CoRh3
_chemical_formula_sum 'Fe4 Co1 Rh3'
_symmetry_space_group_name_H-M 'P 4/m m m'
_symmetry_Int_Tables_number 123
_symmetry_space_group_name_Hall '-P 4 2'
_cell_length_a 2.9752
_cell_length_b 2.9752
_cell_length_c 11.7936
_cell_angle_alpha 90.00
_cell_angle_beta 90.00
_cell_angle_gamma 90.00
loop_
_atom_site_label
_atom_site_fract_x
_atom_site_fract_y
_atom_site_fract_z
_atom_site_occupancy
Fe1 0.0000 0.0000 0.1133 1
Fe2 0.0000 0.0000 0.3701 1
Co1 0.5000 0.5000 0.0000 1
Rh1 0.5000 0.5000 0.2412 1
Rh2 0.5000 0.5000 0.5000 1
```

Values from the calculation:
The total DFT energy (no corrections) comes out at -63.22 eV per cell. The calculation puts the density of states at the Fermi level at 7.06 states/eV/f.u. The value obtained for the formation energy from the elements is -0.026 eV per atom. As for the calculated density: 9.4 g cm⁻³.

No. 3
Here is CeTmAgAu after structural relaxation from Alexandria via LeMat-Bulk. Energies are from PBE.

```
data_CeTmAgAu
_chemical_formula_sum 'Ce4 Tm4 Ag4 Au4'
_symmetry_space_group_name_H-M 'F -4 3 m'
_symmetry_Int_Tables_number 216
_symmetry_space_group_name_Hall 'F -4 2 3'
_cell_length_a 7.2910
_cell_length_b 7.2910
_cell_length_c 7.2910
_cell_angle_alpha 90.00
_cell_angle_beta 90.00
_cell_angle_gamma 90.00
loop_
_atom_site_label
_atom_site_fract_x
_atom_site_fract_y
_atom_site_fract_z
_atom_site_occupancy
Ce1 0.0000 0.0000 0.0000 1
Tm1 0.0000 0.0000 0.5000 1
Ag1 0.2500 0.2500 0.2500 1
Au1 0.2500 0.2500 0.7500 1
```

Values from the calculation:
The energy above the most stable polymorph in this dataset is 3.07 kJ/mol of atoms. The total DFT energy (no corrections) comes out at -73.35 eV per cell. The calculation puts the density of states at the Fermi level at 8.78 states/eV/f.u. The value obtained for the formation energy from the elements is -0.451 eV per atom. As for the calculated density: 10.5 g cm⁻³.

Copy entry 3 word for word.
Here is CeTmAgAu after structural relaxation from Alexandria via LeMat-Bulk. Energies are from PBE.

```
data_CeTmAgAu
_chemical_formula_sum 'Ce4 Tm4 Ag4 Au4'
_symmetry_space_group_name_H-M 'F -4 3 m'
_symmetry_Int_Tables_number 216
_symmetry_space_group_name_Hall 'F -4 2 3'
_cell_length_a 7.2910
_cell_length_b 7.2910
_cell_length_c 7.2910
_cell_angle_alpha 90.00
_cell_angle_beta 90.00
_cell_angle_gamma 90.00
loop_
_atom_site_label
_atom_site_fract_x
_atom_site_fract_y
_atom_site_fract_z
_atom_site_occupancy
Ce1 0.0000 0.0000 0.0000 1
Tm1 0.0000 0.0000 0.5000 1
Ag1 0.2500 0.2500 0.2500 1
Au1 0.2500 0.2500 0.7500 1
```

Values from the calculation:
The energy above the most stable polymorph in this dataset is 3.07 kJ/mol of atoms. The total DFT energy (no corrections) comes out at -73.35 eV per cell. The calculation puts the density of states at the Fermi level at 8.78 states/eV/f.u. The value obtained for the formation energy from the elements is -0.451 eV per atom. As for the calculated density: 10.5 g cm⁻³.

What did the second record say?
Here is Fe4CoRh3 after structural relaxation from Alexandria via LeMat-Bulk. Energies are from PBE.

```
data_Fe4CoRh3
_chemical_formula_sum 'Fe4 Co1 Rh3'
_symmetry_space_group_name_H-M 'P 4/m m m'
_symmetry_Int_Tables_number 123
_symmetry_space_group_name_Hall '-P 4 2'
_cell_length_a 2.9752
_cell_length_b 2.9752
_cell_length_c 11.7936
_cell_angle_alpha 90.00
_cell_angle_beta 90.00
_cell_angle_gamma 90.00
loop_
_atom_site_label
_atom_site_fract_x
_atom_site_fract_y
_atom_site_fract_z
_atom_site_occupancy
Fe1 0.0000 0.0000 0.1133 1
Fe2 0.0000 0.0000 0.3701 1
Co1 0.5000 0.5000 0.0000 1
Rh1 0.5000 0.5000 0.2412 1
Rh2 0.5000 0.5000 0.5000 1
```

Values from the calculation:
The total DFT energy (no corrections) comes out at -63.22 eV per cell. The calculation puts the density of states at the Fermi level at 7.06 states/eV/f.u. The value obtained for the formation energy from the elements is -0.026 eV per atom. As for the calculated density: 9.4 g cm⁻³.

Q: Look up the total DFT energy (no corrections) of the second one.
A: -63.22 eV per cell

Q: Among the records above, which one has the highest calculated density?
A: CeTmAgAu